VASP calculation (SCAN) on a PBEsol-optimized structure of BaLa2Pt.

Geometry as POSCAR:
```
BaLa2Pt
1.0
3.762 0.000 0.000
0.000 3.762 0.000
0.000 0.000 9.108
La Ba Pt
2 1 1
Direct
0.500 0.500 0.309
0.000 0.000 0.044
0.500 0.500 0.694
0.000 0.000 0.453
```

Computed properties:
* density: 7.9 g/cm³
* excess energy over the best structure of this formula in the dataset: 68 kJ/mol of formula units
* formation enthalpy at 0 K: -0.5012 eV/atom
* V: 32.2 Å³/atom
* SG: P4mm


VASP calculation (SCAN) on a PBEsol-optimized structure of BaLaPt2.

Geometry as POSCAR:
```
BaLaPt2
1.0
4.284 0.000 0.000
2.142 3.710 0.000
2.142 1.237 7.178
Ba La Pt
1 1 2
Direct
0.000 0.000 0.000
0.500 0.500 0.500
0.240 0.240 0.281
0.760 0.760 0.719
```

Computed properties:
* density: 9.7 g/cm³
* excess energy over the best structure of this formula in the dataset: 5 kJ/mol of formula units
* formation enthalpy at 0 K: -1.0691 eV/atom
* V: 28.5 Å³/atom
* SG: R-3m


VASP calculation (SCAN) on a PBEsol-optimized structure of BaLaPt2.

Geometry as POSCAR:
```
BaLaPt2
1.0
3.677 0.000 0.000
0.000 3.677 0.000
0.000 0.000 7.499
La Pt Ba
1 2 1
Direct
0.500 0.500 0.500
0.000 0.000 0.293
0.000 0.000 0.707
0.500 0.500 0.000
```

Computed properties:
* density: 10.9 g/cm³
* excess energy over the best structure of this formula in the dataset: 0 kJ/mol of formula units
* formation enthalpy at 0 K: -1.0830 eV/atom
* V: 25.4 Å³/atom
* SG: P4/mmm


VASP calculation (SCAN) on a PBEsol-optimized structure of BaLaPt2.

Geometry as POSCAR:
```
BaLaPt2
1.0
-3.233 -2.359 0.603
2.167 -2.120 3.328
-0.490 5.049 3.535
Pt Ba La
2 1 1
Direct
0.056 0.500 0.113
0.212 0.000 0.423
0.481 0.000 0.963
0.750 0.500 0.501
```

Computed properties:
* density: 10.4 g/cm³
* excess energy over the best structure of this formula in the dataset: 18 kJ/mol of formula units
* formation enthalpy at 0 K: -1.0376 eV/atom
* V: 26.6 Å³/atom
* SG: Amm2


VASP calculation (SCAN) on a PBEsol-optimized structure of BaLa2Pt.

Geometry as POSCAR:
```
BaLa2Pt
1.0
4.218 0.000 0.000
2.109 3.653 0.000
2.109 1.218 9.980
Pt Ba La
1 1 2
Direct
0.500 0.500 0.500
0.000 0.000 0.000
0.219 0.219 0.344
0.781 0.781 0.656
```

Computed properties:
* density: 6.6 g/cm³
* excess energy over the best structure of this formula in the dataset: 0 kJ/mol of formula units
* formation enthalpy at 0 K: -0.6775 eV/atom
* V: 38.4 Å³/atom
* SG: R-3m


VASP calculation (SCAN) on a PBEsol-optimized structure of BaLaPt2.

Geometry as POSCAR:
```
BaLaPt2
1.0
-2.859 -4.026 -1.621
1.545 -2.804 -4.094
1.728 -4.855 0.678
Ba Pt La
1 2 1
Direct
0.500 0.500 0.500
0.750 0.750 0.750
0.250 0.250 0.250
0.000 0.000 0.000
```

Computed properties:
* density: 11.1 g/cm³
* excess energy over the best structure of this formula in the dataset: 50 kJ/mol of formula units
* formation enthalpy at 0 K: -0.9525 eV/atom
* V: 24.8 Å³/atom
* SG: Fm-3m


VASP calculation (SCAN) on a PBEsol-optimized structure of BaLaPt.

Geometry as POSCAR:
```
BaLaPt
1.0
-0.097 -2.451 3.592
3.796 0.870 -1.937
0.700 5.808 3.982
Pt Ba La
1 1 1
Direct
0.333 0.667 0.359
0.000 0.000 0.091
0.667 0.333 0.550
```

Computed properties:
* density: 6.7 g/cm³
* formation enthalpy at 0 K: -0.8287 eV/atom
* V: 38.7 Å³/atom
* SG: P3m1


VASP calculation (SCAN) on a PBEsol-optimized structure of BaLa2Pt.

Geometry as POSCAR:
```
BaLa2Pt
1.0
5.309 0.000 0.000
0.000 5.309 0.000
0.000 0.000 4.017
La Ba Pt
2 1 1
Direct
0.500 0.000 0.000
0.000 0.500 0.000
0.000 0.000 0.500
0.500 0.500 0.500
```

Computed properties:
* density: 9.0 g/cm³
* excess energy over the best structure of this formula in the dataset: 193 kJ/mol of formula units
* formation enthalpy at 0 K: -0.1786 eV/atom
* V: 28.3 Å³/atom
* SG: P4/mmm


Q: Which of these has the highest density?
A: number 6


Q: Look up the formation enthalpy at 0 K of the second one.
A: -1.0691 eV/atom


Q: Which of these has the highest V?
A: BaLaPt